Here is a relaxed structure of CeU3Tl2O12 from Alexandria. Energies are from PBE.

Unit cell a=8.011 b=8.011 c=8.011 alpha=60.58 beta=60.58 gamma=60.58
Fractional positions:
Ce: 0.000 0.000 0.000
U: 0.500 0.000 0.000
U: 0.000 0.500 0.000
U: 0.000 0.000 0.500
Tl: 0.680 0.680 0.680
Tl: 0.320 0.320 0.320
O: 0.308 0.308 0.949
O: 0.933 0.933 0.332
O: 0.332 0.933 0.933
O: 0.949 0.308 0.308
O: 0.933 0.332 0.933
O: 0.308 0.949 0.308
O: 0.692 0.692 0.051
O: 0.067 0.067 0.668
O: 0.668 0.067 0.067
O: 0.051 0.692 0.692
O: 0.067 0.668 0.067
O: 0.692 0.051 0.692

Output
density: 6.560 Mg/m³
formation energy from raw total energies: -2762 meV per atom
symmetry: R-3m, No. 166
V: 368.31 Å³ per cell

=====

Here is a relaxed structure of PmPr4Nd5 from Alexandria. Energies are from PBE.

Unit cell a=3.542 b=7.000 c=14.688 alpha=97.06 beta=96.93 gamma=90.00
Fractional positions:
Pm: 0.500 0.000 0.000
Pr: 0.607 0.807 0.214
Pr: 0.906 0.701 0.811
Pr: 0.393 0.193 0.786
Pr: 0.094 0.299 0.189
Nd: 0.202 0.601 0.404
Nd: 0.206 0.103 0.412
Nd: 0.794 0.897 0.588
Nd: 0.500 0.500 0.000
Nd: 0.798 0.399 0.596

Output
density: 6.618 Mg/m³
formation energy from the elements: 1.3 eV per formula unit
symmetry: C2/m, No. 12
V: 358.78 Å³ per cell
energy relative to the lowest polymorph listed for this composition: 0.0 meV/atom

=====

Here is a relaxed structure of Pm6Pr2Ho3Mg from Alexandria. Energies are from PBE.

Unit cell a=6.235 b=6.235 c=11.893 alpha=95.04 beta=95.04 gamma=120.04
Fractional positions:
Pm: 0.916 0.586 0.747
Pm: 0.753 0.753 0.254
Pm: 0.084 0.414 0.253
Pm: 0.586 0.916 0.747
Pm: 0.247 0.247 0.746
Pm: 0.414 0.084 0.253
Pr: 0.333 0.667 0.000
Pr: 0.667 0.333 0.000
Ho: 0.166 0.834 0.500
Ho: 0.834 0.166 0.500
Ho: 0.500 0.500 0.500
Mg: 0.000 0.000 0.000

Output
density: 7.042 Mg/m³
formation energy from the elements: 0.1 eV per formula unit
symmetry: C2/m, No. 12
V: 394.03 Å³ per cell

=====

Here is a relaxed structure of K2LiZn from Alexandria. Energies are from PBE.

Unit cell a=7.293 b=7.293 c=6.138 alpha=64.96 beta=64.96 gamma=32.08
Fractional positions:
K: 0.039 0.039 0.961
K: 0.238 0.238 0.261
Li: 0.435 0.435 0.566
Zn: 0.788 0.788 0.712

Output
density: 1.606 Mg/m³
formation energy from the elements: 0.5 eV per formula unit
symmetry: Cm, No. 8
V: 155.66 Å³ per cell

=====

Here is a relaxed structure of NaSmIn from Alexandria. Energies are from PBE.

Unit cell a=3.462 b=3.462 c=7.930 alpha=102.61 beta=102.61 gamma=90.00
Fractional positions:
Na: 0.299 0.299 0.599
Sm: 0.598 0.598 0.196
In: 0.953 0.953 0.906

Output
density: 5.292 Mg/m³
formation energy from the elements: -0.2 eV per formula unit
symmetry: I4mm, No. 107
V: 90.42 Å³ per cell
energy relative to the lowest polymorph listed for this composition: 59.7 meV/atom

=====

Here is a relaxed structure of Nb4GaGe from Alexandria. Energies are from PBE.

Unit cell a=5.304 b=6.257 c=6.257 alpha=90.00 beta=90.00 gamma=90.00
Fractional positions:
Nb: 0.000 0.155 0.658
Nb: 0.000 0.845 0.342
Nb: 0.000 0.342 0.155
Nb: 0.000 0.658 0.845
Nb: 0.500 0.845 0.658
Nb: 0.500 0.155 0.342
Nb: 0.500 0.658 0.155
Nb: 0.500 0.342 0.845
Ga: 0.250 0.500 0.500
Ga: 0.750 0.500 0.500
Ge: 0.250 0.000 0.000
Ge: 0.750 0.000 0.000

Output
density: 8.220 Mg/m³
formation energy from the elements: -2.1 eV per formula unit
symmetry: P4/mcc, No. 124
V: 207.67 Å³ per cell
energy relative to the lowest polymorph listed for this composition: 0.0 meV/atom

=====

Here is a relaxed structure of NaPr2Th from Alexandria. Energies are from PBE.

Unit cell a=3.619 b=3.619 c=13.083 alpha=82.05 beta=82.05 gamma=60.00
Fractional positions:
Pr: 0.093 0.093 0.722
Pr: 0.907 0.907 0.278
Na: 0.000 0.000 0.000
Th: 0.500 0.500 0.500

Output
density: 6.086 Mg/m³
formation energy from the elements: 0.5 eV per formula unit
symmetry: R-3m, No. 166
V: 146.47 Å³ per cell
energy relative to the lowest polymorph listed for this composition: 53.6 meV/atom

=====

Here is a relaxed structure of Hf2Ni2Sn from Alexandria. Energies are from PBE.

Unit cell a=7.636 b=7.636 c=3.139 alpha=90.00 beta=90.00 gamma=90.00
Fractional positions:
Ni: 0.128 0.628 0.500
Ni: 0.628 0.872 0.500
Ni: 0.872 0.372 0.500
Ni: 0.372 0.128 0.500
Hf: 0.346 0.846 0.000
Hf: 0.846 0.654 0.000
Hf: 0.654 0.154 0.000
Hf: 0.154 0.346 0.000
Sn: 0.000 0.000 0.000
Sn: 0.500 0.500 0.000

Output
density: 10.760 Mg/m³
formation energy from the elements: -0.8 eV per formula unit
symmetry: P4/mbm, No. 127
V: 183.05 Å³ per cell

=====

Here is a relaxed structure of SmPaB from Alexandria. Energies are from PBE.

Unit cell a=3.237 b=3.510 c=11.675 alpha=81.35 beta=90.00 gamma=90.00
Fractional positions:
B: 0.750 0.485 0.031
B: 0.250 0.515 0.969
Sm: 0.750 0.310 0.379
Sm: 0.250 0.690 0.621
Pa: 0.750 0.069 0.863
Pa: 0.250 0.931 0.137

Output
density: 9.933 Mg/m³
formation energy from the elements: -0.4 eV per formula unit
symmetry: Cmcm, No. 63
V: 131.14 Å³ per cell

=====

Here is a relaxed structure of KReTe2 from Alexandria. Energies are from PBE.

Unit cell a=4.113 b=4.113 c=8.328 alpha=75.76 beta=75.76 gamma=59.94
Last column: magnetic moment on the atom in μB.
Fractional positions:
K: 0.750 0.750 0.750  0.00
Re: 0.250 0.250 0.250  1.54
Te: 0.976 0.976 0.071  0.04
Te: 0.524 0.524 0.429  0.04

Output
density: 6.824 Mg/m³
formation energy from raw total energies: -43 meV per atom
symmetry: C2/m, No. 12
V: 116.92 Å³ per cell
energy relative to the lowest polymorph listed for this composition: 0.0 meV/atom

=====

Here is a relaxed structure of AgBr2O4 from Alexandria. Energies are from PBE.

Unit cell a=4.103 b=4.103 c=7.007 alpha=72.98 beta=72.98 gamma=90.00
Last column: magnetic moment on the atom in μB.
Fractional positions:
O: 0.791 0.791 0.418  0.00
O: 0.209 0.209 0.582  0.00
O: 0.000 0.500 0.000  0.15
O: 0.500 0.000 0.000  0.15
Br: 0.656 0.656 0.688  0.03
Br: 0.344 0.344 0.312  0.03
Ag: 0.000 0.000 0.000  0.07

Output
density: 5.130 Mg/m³
formation energy from raw total energies: 482 meV per atom
symmetry: I4/mmm, No. 139
V: 107.35 Å³ per cell

=====

Here is a relaxed structure of HgSb from Alexandria. Energies are from PBE.

Unit cell a=11.910 b=11.910 c=11.910 alpha=16.17 beta=16.17 gamma=16.17
Fractional positions:
Hg: 0.000 0.000 0.000
Hg: 0.750 0.750 0.750
Sb: 0.505 0.505 0.505
Sb: 0.245 0.245 0.245

Output
density: 9.370 Mg/m³
formation energy from raw total energies: 144 meV per atom
symmetry: R-3m, No. 166
V: 114.26 Å³ per cell
energy relative to the lowest polymorph listed for this composition: 115.3 meV/atom

=====

Here is a relaxed structure of PuSi2Pt5 from Alexandria. Energies are from PBE.

Unit cell a=3.938 b=6.327 c=6.327 alpha=67.79 beta=71.87 gamma=71.87
Last column: magnetic moment on the atom in μB.
Fractional positions:
Pu: 0.000 0.000 0.000  5.17
Si: 0.752 0.748 0.748  -0.01
Si: 0.248 0.252 0.252  -0.01
Pt: 0.000 0.500 0.500  0.03
Pt: 0.648 0.552 0.151  0.02
Pt: 0.352 0.448 0.849  0.02
Pt: 0.352 0.849 0.448  0.02
Pt: 0.648 0.151 0.552  0.02

Output
density: 15.655 Mg/m³
formation energy from raw total energies: -784 meV per atom
symmetry: Immm, No. 71
V: 135.30 Å³ per cell

=====

Here is a relaxed structure of KY2Sn3Te6 from Alexandria. Energies are from PBE.

Unit cell a=4.437 b=9.398 c=10.138 alpha=103.04 beta=102.64 gamma=90.00
Fractional positions:
K: 0.500 0.000 0.000
Y: 0.830 0.651 0.660
Y: 0.170 0.349 0.340
Sn: 0.500 0.500 0.000
Sn: 0.843 0.153 0.685
Sn: 0.157 0.847 0.315
Te: 0.319 0.885 0.638
Te: 0.668 0.587 0.336
Te: 0.681 0.115 0.362
Te: 0.011 0.273 0.023
Te: 0.989 0.727 0.977
Te: 0.332 0.413 0.664

Output
density: 5.539 Mg/m³
formation energy from raw total energies: -746 meV per atom
symmetry: C2/m, No. 12
V: 401.31 Å³ per cell

=====

Here is a relaxed structure of KRu2Se from Alexandria. Energies are from PBE.

Unit cell a=3.068 b=3.068 c=8.390 alpha=90.00 beta=90.00 gamma=90.00
Last column: magnetic moment on the atom in μB.
Fractional positions:
K: 0.500 0.500 0.750  0.03
Ru: 0.000 0.000 0.082  0.57
Ru: 0.000 0.000 0.418  0.57
Se: 0.500 0.500 0.250  -0.01

Output
density: 6.732 Mg/m³
formation energy from raw total energies: 737 meV per atom
symmetry: P4/mmm, No. 123
V: 78.98 Å³ per cell

=====

Here is a relaxed structure of ThScTe4 from Alexandria. Energies are from PBE.

Unit cell a=7.408 b=7.321 c=7.561 alpha=90.00 beta=86.22 gamma=90.00
Fractional positions:
Th: 0.500 0.000 0.500
Th: 0.000 0.500 0.500
Sc: 0.000 0.000 0.000
Sc: 0.500 0.500 0.000
Te: 0.853 0.638 0.129
Te: 0.647 0.138 0.871
Te: 0.369 0.363 0.338
Te: 0.131 0.863 0.662
Te: 0.147 0.362 0.871
Te: 0.353 0.862 0.129
Te: 0.631 0.637 0.662
Te: 0.869 0.137 0.338

Output
density: 6.391 Mg/m³
formation energy from raw total energies: -877 meV per atom
symmetry: P2_1/c, No. 14
V: 409.14 Å³ per cell

=====

Here is a relaxed structure of Sc2TaCo from Alexandria. Energies are from PBE.

Unit cell a=4.222 b=3.130 c=5.794 alpha=74.67 beta=90.00 gamma=90.00
Last column: magnetic moment on the atom in μB.
Fractional positions:
Co: 0.500 0.726 0.729  0.19
Sc: 0.000 0.944 0.967  -0.02
Sc: 0.500 0.241 0.277  -0.01
Ta: 0.000 0.589 0.527  -0.01

Output
density: 7.416 Mg/m³
formation energy from the elements: 0.3 eV per formula unit
symmetry: Pm, No. 6
V: 73.85 Å³ per cell
energy relative to the lowest polymorph listed for this composition: 160.1 meV/atom

=====

Here is a relaxed structure of CdCuP from Alexandria. Energies are from PBE.

Unit cell a=4.201 b=4.201 c=7.529 alpha=73.80 beta=73.80 gamma=60.00
Fractional positions:
P: 0.262 0.262 0.213
P: 0.738 0.738 0.787
Cu: 0.372 0.372 0.885
Cu: 0.628 0.628 0.115
Cd: 0.878 0.878 0.365
Cd: 0.122 0.122 0.635

Output
density: 6.309 Mg/m³
formation energy from the elements: 0.2 eV per formula unit
symmetry: R-3m, No. 166
V: 108.93 Å³ per cell

=====

Here is a relaxed structure of LiErBi2 from Alexandria. Energies are from PBE.

Unit cell a=5.368 b=5.368 c=5.368 alpha=60.00 beta=60.00 gamma=60.00
Fractional positions:
Li: 0.500 0.500 0.500
Bi: 0.250 0.250 0.250
Bi: 0.750 0.750 0.750
Er: 0.000 0.000 0.000

Output
density: 8.991 Mg/m³
formation energy from the elements: -1.7 eV per formula unit
symmetry: Fm-3m, No. 225
V: 109.36 Å³ per cell
energy relative to the lowest polymorph listed for this composition: 148.1 meV/atom

=====

Here is a relaxed structure of La2MgCrSn from Alexandria. Energies are from PBE.

Unit cell a=6.115 b=5.038 c=6.115 alpha=90.00 beta=90.00 gamma=90.00
Last column: magnetic moment on the atom in μB.
Fractional positions:
Cr: 0.000 0.500 0.000  3.64
Mg: 0.500 0.500 0.500  -0.03
Sn: 0.000 0.000 0.000  -0.11
La: 0.000 0.000 0.500  -0.16
La: 0.500 0.000 0.000  -0.18

Output
density: 4.168 Mg/m³
formation energy from the elements: 2.1 eV per formula unit
symmetry: P4/mmm, No. 123
V: 188.38 Å³ per cell

=====

Here is a relaxed structure of Rb2NdCu2O4 from Alexandria. Energies are from PBE.

Unit cell a=3.573 b=6.700 c=7.064 alpha=107.01 beta=104.65 gamma=90.00
Last column: magnetic moment on the atom in μB.
Fractional positions:
Rb: 0.131 0.558 0.262  0.00
Rb: 0.869 0.442 0.738  0.00
Nd: 0.000 0.000 0.000  -0.01
Cu: 0.680 0.017 0.360  0.32
Cu: 0.320 0.983 0.640  0.32
O: 0.192 0.147 0.384  0.14
O: 0.808 0.853 0.616  0.14
O: 0.533 0.792 0.066  0.04
O: 0.467 0.208 0.934  0.04

Output
density: 5.391 Mg/m³
formation energy from raw total energies: -1437 meV per atom
symmetry: C2/m, No. 12
V: 155.94 Å³ per cell

=====

Here is a relaxed structure of Pu3Pa2S8 from Alexandria. Energies are from PBE.

Unit cell a=6.630 b=7.835 c=8.041 alpha=119.15 beta=107.24 gamma=90.00
Last column: magnetic moment on the atom in μB.
Fractional positions:
Pu: 0.500 0.000 0.000  -5.28
Pu: 0.000 0.259 0.000  -5.16
Pu: 0.000 0.741 0.000  -5.16
Pa: 0.335 0.261 0.522  -1.01
Pa: 0.665 0.739 0.478  -1.01
S: 0.887 0.613 0.227  0.09
S: 0.113 0.387 0.773  0.09
S: 0.935 0.121 0.242  0.10
S: 0.065 0.879 0.758  0.10
S: 0.584 0.638 0.742  0.07
S: 0.584 0.105 0.742  0.07
S: 0.416 0.895 0.258  0.07
S: 0.416 0.362 0.258  0.07

Output
density: 7.019 Mg/m³
formation energy from raw total energies: -1565 meV per atom
symmetry: C2/m, No. 12
V: 343.15 Å³ per cell
energy relative to the lowest polymorph listed for this composition: 30.1 meV/atom

=====

Here is a relaxed structure of DyEr2Rh3 from Alexandria. Energies are from PBE.

Unit cell a=4.818 b=4.818 c=11.768 alpha=90.00 beta=90.00 gamma=120.00
Fractional positions:
Dy: 0.333 0.667 0.667
Dy: 0.667 0.333 0.333
Er: 0.000 0.000 0.500
Er: 0.333 0.667 0.166
Er: 0.667 0.333 0.834
Er: 0.000 0.000 0.000
Rh: 0.333 0.667 0.417
Rh: 0.667 0.333 0.083
Rh: 0.000 0.000 0.751
Rh: 0.000 0.000 0.249
Rh: 0.333 0.667 0.917
Rh: 0.667 0.333 0.583

Output
density: 11.310 Mg/m³
formation energy from the elements: -5.5 eV per formula unit
symmetry: P-3m1, No. 164
V: 236.59 Å³ per cell

=====

Here is a relaxed structure of HgAs2Br from Alexandria. Energies are from PBE.

Unit cell a=5.011 b=5.011 c=5.006 alpha=68.62 beta=68.62 gamma=105.68
Fractional positions:
As: 0.000 0.000 0.000
As: 0.500 0.500 0.000
Hg: 0.000 0.500 0.500
Br: 0.500 0.000 0.500

Output
density: 7.403 Mg/m³
formation energy from raw total energies: 273 meV per atom
symmetry: I4/mmm, No. 139
V: 96.53 Å³ per cell
energy relative to the lowest polymorph listed for this composition: 322.3 meV/atom